(1)
Computed, not measured: a geometry-optimized CaNdDyEr structure at the PBE-GGA level of DFT.

For the calculated volume, the calculation gives 544.7 Å³ per cell. The crystal system is cubic. For the mass density, the calculation gives 6.3 g/cm³. The total energy is -3.845 eV per atom.

The structure belongs to space group F-43m (No. 216); the cell edges are 8.167, 8.167 and 8.167 Å and the angles 90.00°, 90.00° and 90.00°. The asymmetric unit holds Ca at (0.000, 0.000, 0.000), Nd at (0.250, 0.250, 0.250), Dy at (0.250, 0.250, 0.750) and Er at (0.000, 0.000, 0.500).

=====

(2)
Computed, not measured: a geometry-optimized Pm12Nd3In structure at the PBE-GGA level of DFT.

For the calculated volume, the calculation gives 537.2 Å³ per cell. The crystal system is tetragonal. For the mass density, the calculation gives 7.1 g/cm³. The total energy is -4.674 eV per atom.

The structure belongs to space group P4/mmm (No. 123); the cell edges are 5.092, 5.092 and 20.716 Å and the angles 90.00°, 90.00° and 90.00°. The asymmetric unit holds Pm at (0.000, 0.000, 0.000), Pm at (0.000, 0.000, 0.244), Pm at (0.000, 0.000, 0.500), Pm at (0.000, 0.500, 0.119), Pm at (0.000, 0.500, 0.373), Nd at (0.500, 0.500, 0.247), Nd at (0.500, 0.500, 0.500) and In at (0.500, 0.500, 0.000).

=====

(3)
Computed, not measured: a geometry-optimized LiAl6W structure at the PBE-GGA level of DFT.

For the calculated volume, the calculation gives 256.1 Å³ per cell. The crystal system is tetragonal. For the mass density, the calculation gives 4.6 g/cm³. The total energy is -4.732 eV per atom.

The structure belongs to space group I4/mmm (No. 139); the cell edges are 4.725, 4.725 and 11.472 Å and the angles 90.00°, 90.00° and 90.00°. The asymmetric unit holds Li at (0.000, 0.000, 0.000), Al at (0.000, 0.000, 0.266), Al at (0.000, 0.500, 0.118) and W at (0.000, 0.000, 0.500).

=====

(4)
Computed, not measured: a geometry-optimized PdRuS2 structure at the PBE-GGA level of DFT.

For the calculated volume, the calculation gives 210.3 Å³ per cell. The value obtained for the uncorrected formation energy is 0.224 eV/atom. The crystal system is trigonal. For the mass density, the calculation gives 6.4 g/cm³. The total energy is -5.457 eV per atom. The energy above the most stable polymorph in this dataset is 0.404 eV per atom.

The structure belongs to space group R-3m (No. 166, hexagonal axes); the cell edges are 3.3145, 3.3145 and 22.1030 Å and the angles 90.00°, 90.00° and 120.00°. The asymmetric unit holds Pd at (0.0000, 0.0000, 0.0000), Ru at (0.0000, 0.0000, 0.5000) and S at (0.0000, 0.0000, 0.3999).

=====

Which formula does entry 2 have?
Pm12Nd3In

=====

Which of these has the highest mass density?
Pm12Nd3In